1.
The following is a DFT calculation (PBE) of a geometry-optimized MgAgS2N structure.

Structure (POSCAR):
```
MgAgS2N
1.0
4.975 0.000 0.000
0.000 4.975 0.000
0.000 0.000 3.969
S Mg Ag N
2 1 1 1
direct
0.000 0.500 0.000
0.500 0.000 0.000
0.500 0.500 0.500
0.000 0.000 0.000
0.000 0.000 0.500
```

Summary:
Its density of states at the Fermi level is 0.67 states/eV per atom. The calculation puts the total energy at -3.408 eV per atom. The calculated density is 3.56 g cm⁻³. The calculation puts the formation energy without anion corrections at 0.797 eV/atom.

---

2.
The following is a DFT calculation (PBE) of a geometry-optimized Mg2ScAgN structure.

Structure (POSCAR):
```
Mg2ScAgN
1.0
-3.268 0.638 2.838
-1.043 -4.242 -0.249
2.685 -0.853 3.285
Sc Mg Ag N
1 2 1 1
direct
0.000 0.000 0.500
0.000 0.500 0.000
0.500 0.000 0.000
0.500 0.500 0.500
0.000 0.000 0.000
```

Summary:
Its density of states at the Fermi level is 0.54 states/eV per atom. The calculation puts the total energy at -4.707 eV per atom. The calculated density is 4.32 g cm⁻³. The calculation puts the formation energy without anion corrections at -0.568 eV/atom.

---

3.
The following is a DFT calculation (PBE) of a geometry-optimized MgAg2SnN structure.

Structure (POSCAR):
```
MgAg2SnN
1.0
5.189 0.000 0.000
0.000 3.839 0.000
0.000 0.000 5.189
Mg Sn Ag N
1 1 2 1
direct
0.000 0.000 0.000
0.500 0.500 0.500
0.000 0.000 0.500
0.500 0.000 0.000
0.000 0.500 0.000
```

Summary:
Its density of states at the Fermi level is 0.50 states/eV per atom. The calculation puts the total energy at -3.231 eV per atom. The calculated density is 5.99 g cm⁻³. The calculation puts the formation energy without anion corrections at 0.694 eV/atom.

---

4.
The following is a DFT calculation (PBE) of a geometry-optimized Sr2MgAgN structure.

Structure (POSCAR):
```
Sr2MgAgN
1.0
5.404 0.000 0.000
0.000 5.404 0.000
0.000 0.000 4.212
Sr Mg Ag N
2 1 1 1
direct
0.000 0.500 0.000
0.500 0.000 0.000
0.000 0.000 0.500
0.500 0.500 0.500
0.000 0.000 0.000
```

Summary:
Its density of states at the Fermi level is 0.71 states/eV per atom. The calculation puts the total energy at -3.605 eV per atom. The calculated density is 4.34 g cm⁻³. The calculation puts the formation energy without anion corrections at -0.378 eV/atom.